Entry 1:
The following is a PBE calculation of a geometry-optimized ErInO3 structure, from Alexandria.

The space group is R-3 (No. 148, hexagonal axes) and the conventional cell measures 5.6670, 5.6670 and 14.9000 Å, with angles of 90.00, 90.00 and 120.00 degrees. The distinct sites, in fractional coordinates, are Er at (0.0000, 0.0000, 0.1408), In at (0.0000, 0.0000, 0.3554) and O at (0.0073, 0.7079, 0.2503).

Entry 2:
The following is a PBE calculation of a geometry-optimized Er7In4O structure, from Alexandria.

The space group is C2/m (No. 12) and the conventional cell measures 16.618, 4.825 and 10.900 Å, with angles of 90.00, 129.38 and 90.00 degrees. The distinct sites, in fractional coordinates, are Er at (0.000, 0.000, 0.000), Er at (0.056, 0.500, 0.245), Er at (0.125, 0.000, 0.552), Er at (0.218, 0.500, 0.853), In at (0.082, 0.000, 0.796), In at (0.225, 0.000, 0.374) and O at (0.000, 0.500, 0.000).

Entry 3:
The following is a PBE calculation of a geometry-optimized ErInO3 structure, from Alexandria.

The space group is P6_3cm (No. 185) and the conventional cell measures 6.3097, 6.3097 and 12.3160 Å, with angles of 90.00, 90.00 and 120.00 degrees. The distinct sites, in fractional coordinates, are Er at (0.0000, 0.0000, 0.0000), Er at (0.3333, 0.6667, 0.4647), In at (0.0000, 0.3334, 0.2304), O at (0.0000, 0.0000, 0.1946), O at (0.0000, 0.3044, 0.4033), O at (0.0000, 0.3647, 0.0599) and O at (0.3333, 0.6667, 0.2629).

Entry 4:
The following is a PBE calculation of a geometry-optimized Er3In5O12 structure, from Alexandria.

The space group is Ia-3d (No. 230) and the conventional cell measures 13.073, 13.073 and 13.073 Å, with angles of 90.00, 90.00 and 90.00 degrees. The distinct sites, in fractional coordinates, are Er at (0.000, 0.250, 0.125), In at (0.000, 0.000, 0.000), In at (0.000, 0.250, 0.375) and O at (0.020, 0.065, 0.653).

Entry 5:
The following is a PBE calculation of a geometry-optimized ErInO3 structure, from Alexandria.

The space group is P2_1/m (No. 11) and the conventional cell measures 5.595, 3.570 and 8.362 Å, with angles of 90.00, 105.12 and 90.00 degrees. The distinct sites, in fractional coordinates, are Er at (0.215, 0.250, 0.416), In at (0.373, 0.250, 0.839), O at (0.044, 0.250, 0.631), O at (0.293, 0.750, 0.945) and O at (0.451, 0.750, 0.361).

Entry 6:
The following is a PBE calculation of a geometry-optimized ErInO2 structure, from Alexandria.

The space group is R-3m (No. 166, hexagonal axes) and the conventional cell measures 3.4126, 3.4126 and 20.3572 Å, with angles of 90.00, 90.00 and 120.00 degrees. The distinct sites, in fractional coordinates, are Er at (0.0000, 0.0000, 0.0000), In at (0.0000, 0.0000, 0.5000) and O at (0.0000, 0.0000, 0.3876).

Uncorrected formation energy for the records above, in order: -12.78; -7.24; -12.98; -44.60; -12.50; -9.75 eV/f.u.
Spin magnetization for the records above, in order: 0.00; 0.01; 0.00; 0.00; 0.00; 0.00 Bohr magnetons per cell